# Pr3Nd4Ge4 PBE-GGA optimized geometry
data_Pr3Nd4Ge4
_chemical_formula_sum 'Pr6 Nd8 Ge8'
_cell_length_a 4.028
_cell_length_b 8.838
_cell_length_c 17.531
_cell_angle_alpha 90.00
_cell_angle_beta 90.00
_cell_angle_gamma 90.00
_symmetry_space_group_name_H-M 'I m m m'
_symmetry_Int_Tables_number 71
_symmetry_space_group_name_Hall '-I 2 2'
loop_
_atom_site_label
_atom_site_fract_x
_atom_site_fract_y
_atom_site_fract_z
_atom_site_occupancy
Pr1 0.000 0.000 0.000 1
Pr2 0.000 0.500 0.095 1
Nd1 0.000 0.323 0.329 1
Ge1 0.000 0.000 0.273 1
Ge2 0.000 0.226 0.500 1
# **Spin magnetization**: 0.00 μB per cell
# **Density of states at the Fermi level**: 20.9 states/eV/cell
# **ρ**: 6.86 g cm⁻³
# **Raw total energy**: -5.3305 eV per atom



# NaLiCaAg PBE-GGA optimized geometry
data_NaLiCaAg
_chemical_formula_sum 'Na4 Li4 Ca4 Ag4'
_cell_length_a 7.387
_cell_length_b 7.387
_cell_length_c 7.387
_cell_angle_alpha 90.00
_cell_angle_beta 90.00
_cell_angle_gamma 90.00
_symmetry_space_group_name_H-M 'F -4 3 m'
_symmetry_Int_Tables_number 216
_symmetry_space_group_name_Hall 'F -4 2 3'
loop_
_atom_site_label
_atom_site_fract_x
_atom_site_fract_y
_atom_site_fract_z
_atom_site_occupancy
Na1 0.000 0.000 0.000 1
Li1 0.250 0.250 0.250 1
Ca1 0.250 0.250 0.750 1
Ag1 0.000 0.000 0.500 1
# **Spin magnetization**: 0.00 μB per cell
# **Density of states at the Fermi level**: 5.1 states/eV/cell
# **ρ**: 2.93 g cm⁻³
# **Raw total energy**: -2.0753 eV per atom



# La4GePdI2 PBE-GGA optimized geometry
data_La4GePdI2
_chemical_formula_sum 'La4 Ge1 Pd1 I2'
_cell_length_a 7.904
_cell_length_b 4.322
_cell_length_c 8.100
_cell_angle_alpha 90.00
_cell_angle_beta 107.37
_cell_angle_gamma 90.00
_symmetry_space_group_name_H-M 'P 1 2/m 1'
_symmetry_Int_Tables_number 10
loop_
_symmetry_equiv_pos_as_xyz
'x,y,z'
'-x,-y,-z'
'-x,y,-z'
'x,-y,z'
loop_
_atom_site_label
_atom_site_fract_x
_atom_site_fract_y
_atom_site_fract_z
_atom_site_occupancy
La1 0.226 0.000 0.198 1
La2 0.267 0.500 0.790 1
Ge1 0.500 0.000 0.000 1
Pd1 0.000 0.500 0.000 1
I1 0.000 0.000 0.500 1
I2 0.500 0.500 0.500 1
# **Spin magnetization**: 0.00 μB per cell
# **Uncorrected formation energy**: -0.9852 eV per atom
# **Density of states at the Fermi level**: 8.1 states/eV/cell
# **ρ**: 6.22 g cm⁻³



# Tc3H12Pd5 PBE-GGA optimized geometry
data_Tc3H12Pd5
_chemical_formula_sum 'Tc24 H96 Pd40'
_cell_length_a 10.933
_cell_length_b 10.933
_cell_length_c 10.933
_cell_angle_alpha 90.00
_cell_angle_beta 90.00
_cell_angle_gamma 90.00
_symmetry_space_group_name_H-M 'I a -3 d'
_symmetry_Int_Tables_number 230
_symmetry_space_group_name_Hall '-I 4bd 2c 3'
loop_
_atom_site_label
_atom_site_fract_x
_atom_site_fract_y
_atom_site_fract_z
_atom_site_occupancy
Tc1 0.000 0.250 0.125 1
H1 0.009 0.074 0.658 1
Pd1 0.000 0.000 0.000 1
Pd2 0.000 0.250 0.375 1
# **Spin magnetization**: 32.19 μB per cell
# **Density of states at the Fermi level**: 72.4 states/eV/cell
# **ρ**: 8.52 g cm⁻³
# **Raw total energy**: -4.6987 eV per atom



# PtSe3S PBE-GGA optimized geometry
data_PtSe3S
_chemical_formula_sum 'Pt1 Se3 S1'
_cell_length_a 4.941
_cell_length_b 4.941
_cell_length_c 4.941
_cell_angle_alpha 90.00
_cell_angle_beta 90.00
_cell_angle_gamma 90.00
_symmetry_space_group_name_H-M 'P m -3 m'
_symmetry_Int_Tables_number 221
_symmetry_space_group_name_Hall '-P 4 2 3'
loop_
_atom_site_label
_atom_site_fract_x
_atom_site_fract_y
_atom_site_fract_z
_atom_site_occupancy
Pt1 0.000 0.000 0.000 1
Se1 0.000 0.000 0.500 1
S1 0.500 0.500 0.500 1
# **Spin magnetization**: 0.00 μB per cell
# **Energy relative to the lowest polymorph listed for this composition**: 0.000 eV/atom
# **Uncorrected formation energy**: 0.7936 eV per atom
# **Density of states at the Fermi level**: 7.6 states/eV/cell
# **ρ**: 6.39 g cm⁻³



# Hf4Be2H PBE-GGA optimized geometry
data_Hf4Be2H
_chemical_formula_sum 'Hf8 Be4 H2'
_cell_length_a 4.025
_cell_length_b 4.025
_cell_length_c 13.864
_cell_angle_alpha 90.00
_cell_angle_beta 90.00
_cell_angle_gamma 90.00
_symmetry_space_group_name_H-M 'I 4/m m m'
_symmetry_Int_Tables_number 139
_symmetry_space_group_name_Hall '-I 4 2'
loop_
_atom_site_label
_atom_site_fract_x
_atom_site_fract_y
_atom_site_fract_z
_atom_site_occupancy
Hf1 0.000 0.000 0.184 1
Hf2 0.000 0.500 0.000 1
Be1 0.000 0.000 0.370 1
H1 0.000 0.000 0.000 1
# **Spin magnetization**: 0.00 μB per cell
# **Density of states at the Fermi level**: 12.1 states/eV/cell
# **ρ**: 10.84 g cm⁻³
# **Raw total energy**: -7.1778 eV per atom



# MnPIr2 PBE-GGA optimized geometry
data_MnPIr2
_chemical_formula_sum 'Mn3 P3 Ir6'
_cell_length_a 2.8587
_cell_length_b 2.8587
_cell_length_c 23.8023
_cell_angle_alpha 90.00
_cell_angle_beta 90.00
_cell_angle_gamma 120.00
_symmetry_space_group_name_H-M 'R -3 m'
_symmetry_Int_Tables_number 166
_symmetry_space_group_name_Hall '-R 3 2"'
loop_
_atom_site_label
_atom_site_fract_x
_atom_site_fract_y
_atom_site_fract_z
_atom_site_occupancy
Mn1 0.0000 0.0000 0.0000 1
P1 0.0000 0.0000 0.5000 1
Ir1 0.0000 0.0000 0.2431 1
# **Spin magnetization**: 10.96 μB per cell
# **Density of states at the Fermi level**: 7.0 states/eV/cell
# **ρ**: 13.91 g cm⁻³
# **Raw total energy**: -8.1588 eV per atom



# Al2CoSb PBE-GGA optimized geometry
data_Al2CoSb
_chemical_formula_sum 'Al2 Co1 Sb1'
_cell_length_a 2.999
_cell_length_b 2.999
_cell_length_c 7.704
_cell_angle_alpha 90.00
_cell_angle_beta 90.00
_cell_angle_gamma 90.00
_symmetry_space_group_name_H-M 'P 4 m m'
_symmetry_Int_Tables_number 99
loop_
_symmetry_equiv_pos_as_xyz
'x,y,z'
'-y,x,z'
'-x,-y,z'
'y,-x,z'
'-x,y,z'
'y,x,z'
'x,-y,z'
'-y,-x,z'
loop_
_atom_site_label
_atom_site_fract_x
_atom_site_fract_y
_atom_site_fract_z
_atom_site_occupancy
Al1 0.000 0.000 0.000 1
Al2 0.500 0.500 0.246 1
Co1 0.000 0.000 0.423 1
Sb1 0.500 0.500 0.643 1
# **Spin magnetization**: 0.63 μB per cell
# **Uncorrected formation energy**: -0.0059 eV per atom
# **Density of states at the Fermi level**: 1.9 states/eV/cell
# **ρ**: 5.62 g cm⁻³



The lowest ρ belongs to which entry?
NaLiCaAg